Below is a geometry-optimized Hg2TeBr structure, with properties calculated at the PBE-GGA level.

Values from the calculation:
Energy relative to the elements, uncorrected ... 0.142 eV per atom
ρ ... 8.90 g cm⁻³
ΔE to the lowest computed polymorph ... 1.592 eV/f.u.
E_tot ... -1.213 eV per atom

Lattice parameters (Å, degrees): 3.4535 3.4535 9.5207 90.00 90.00 90.00
Closest atoms and distances in Å follow each position.
Fractional coordinates of all 4 atoms:
Te1 0.0000 0.0000 0.4754  4 Te 3.45, 4 Hg 3.47
Hg1 0.0000 0.0000 0.9966  4 Br 3.01, 4 Hg 3.22
Hg2 0.5000 0.5000 0.2170  8 Hg 3.22-3.45, 4 Te 3.47
Br1 0.5000 0.5000 0.8110  4 Hg 3.01